No. 1
# Rb2HfBrCl6

An optimized crystal structure of Rb2HfBrCl6 (PBE, Alexandria).

Calculated values
Total magnetization, Bohr magnetons per cell: 2.000
Crystal system: tetragonal
Raw formation energy, eV per atom: -1.59

Cell and atoms, written as CIF:
```
data_Rb2HfBrCl6
_cell_length_a 7.948
_cell_length_b 7.948
_cell_length_c 11.863
_cell_angle_alpha 90.00
_cell_angle_beta 90.00
_cell_angle_gamma 90.00
_symmetry_space_group_name_H-M 'I 4/m m m'
_symmetry_Int_Tables_number 139
_symmetry_space_group_name_Hall '-I 4 2'
loop_
_atom_site_label
_atom_site_type_symbol
_atom_site_fract_x
_atom_site_fract_y
_atom_site_fract_z
Rb1 Rb 0.000 0.500 0.250
Hf1 Hf 0.000 0.000 0.000
Br1 Br 0.000 0.000 0.500
Cl1 Cl 0.000 0.000 0.207
Cl2 Cl 0.219 0.219 0.000
```

---

No. 2
# K2BaCo

An optimized crystal structure of K2BaCo (PBE, Alexandria).

Calculated values
Total magnetization, Bohr magnetons per cell: 1.369
Crystal system: monoclinic
Energy relative to the elements, eV per atom: 0.59

Cell and atoms, written as CIF:
```
data_K2BaCo
_cell_length_a 10.279
_cell_length_b 4.113
_cell_length_c 9.800
_cell_angle_alpha 90.00
_cell_angle_beta 106.30
_cell_angle_gamma 90.00
_symmetry_space_group_name_H-M 'C 1 m 1'
_symmetry_Int_Tables_number 8
loop_
_symmetry_equiv_pos_as_xyz
'x,y,z'
'x,-y,z'
'x+1/2,y+1/2,z'
'x+1/2,-y+1/2,z'
loop_
_atom_site_label
_atom_site_type_symbol
_atom_site_fract_x
_atom_site_fract_y
_atom_site_fract_z
K1 K 0.000 0.000 0.000
K2 K 0.169 0.000 0.634
Ba1 Ba 0.345 0.000 0.317
Co1 Co 0.132 0.500 0.317
```

---

No. 3
# La11Zn9Cu4

An optimized crystal structure of La11Zn9Cu4 (PBE, Alexandria).

Calculated values
Total magnetization, Bohr magnetons per cell: 0.000
Crystal system: orthorhombic
Energy relative to the elements, eV per atom: -0.26

Cell and atoms, written as CIF:
```
data_La11Zn9Cu4
_cell_length_a 14.434
_cell_length_b 21.872
_cell_length_c 3.776
_cell_angle_alpha 90.00
_cell_angle_beta 90.00
_cell_angle_gamma 90.00
_symmetry_space_group_name_H-M 'C m m m'
_symmetry_Int_Tables_number 65
_symmetry_space_group_name_Hall '-C 2 2'
loop_
_atom_site_label
_atom_site_type_symbol
_atom_site_fract_x
_atom_site_fract_y
_atom_site_fract_z
La1 La 0.000 0.000 0.000
La2 La 0.000 0.170 0.000
La3 La 0.000 0.372 0.000
La4 La 0.205 0.500 0.000
La5 La 0.233 0.177 0.000
Zn1 Zn 0.000 0.500 0.500
Zn2 Zn 0.101 0.270 0.500
Zn3 Zn 0.145 0.072 0.500
Cu1 Cu 0.155 0.399 0.500
```

---

No. 4
# CoRuCl

An optimized crystal structure of CoRuCl (PBE, Alexandria).

Calculated values
Total magnetization, Bohr magnetons per cell: 5.099
Crystal system: tetragonal
Raw formation energy, eV per atom: 0.56

Cell and atoms, written as CIF:
```
data_CoRuCl
_cell_length_a 2.874
_cell_length_b 2.874
_cell_length_c 10.640
_cell_angle_alpha 90.00
_cell_angle_beta 90.00
_cell_angle_gamma 90.00
_symmetry_space_group_name_H-M 'I 4 m m'
_symmetry_Int_Tables_number 107
_symmetry_space_group_name_Hall 'I 4 -2'
loop_
_atom_site_label
_atom_site_type_symbol
_atom_site_fract_x
_atom_site_fract_y
_atom_site_fract_z
Co1 Co 0.000 0.000 0.000
Ru1 Ru 0.000 0.000 0.639
Cl1 Cl 0.000 0.000 0.315
```

---

No. 5
# BaNi2PtRh

An optimized crystal structure of BaNi2PtRh (PBE, Alexandria).

Calculated values
Total magnetization, Bohr magnetons per cell: 0.539
Crystal system: tetragonal
Energy relative to the elements, eV per atom: 2.07

Cell and atoms, written as CIF:
```
data_BaNi2PtRh
_cell_length_a 4.744
_cell_length_b 4.744
_cell_length_c 5.293
_cell_angle_alpha 90.00
_cell_angle_beta 90.00
_cell_angle_gamma 90.00
_symmetry_space_group_name_H-M 'P 4/m m m'
_symmetry_Int_Tables_number 123
_symmetry_space_group_name_Hall '-P 4 2'
loop_
_atom_site_label
_atom_site_type_symbol
_atom_site_fract_x
_atom_site_fract_y
_atom_site_fract_z
Ba1 Ba 0.000 0.000 0.000
Ni1 Ni 0.000 0.500 0.000
Pt1 Pt 0.000 0.000 0.500
Rh1 Rh 0.500 0.500 0.500
```

---

No. 6
# FeCu2Ag

An optimized crystal structure of FeCu2Ag (PBE, Alexandria).

Calculated values
Total magnetization, Bohr magnetons per cell: 8.337
Crystal system: trigonal
Energy relative to the elements, eV per atom: 0.24

Cell and atoms, written as CIF:
```
data_FeCu2Ag
_cell_length_a 2.6955
_cell_length_b 2.6955
_cell_length_c 26.0244
_cell_angle_alpha 90.00
_cell_angle_beta 90.00
_cell_angle_gamma 120.00
_symmetry_space_group_name_H-M 'R 3 m'
_symmetry_Int_Tables_number 160
_symmetry_space_group_name_Hall 'R 3 -2"'
loop_
_atom_site_label
_atom_site_type_symbol
_atom_site_fract_x
_atom_site_fract_y
_atom_site_fract_z
Fe1 Fe 0.0000 0.0000 0.0000
Cu1 Cu 0.0000 0.0000 0.2550
Cu2 Cu 0.0000 0.0000 0.5115
Ag1 Ag 0.0000 0.0000 0.7568
```

---

No. 7
# BeFeHg2

An optimized crystal structure of BeFeHg2 (PBE, Alexandria).

Calculated values
Total magnetization, Bohr magnetons per cell: 5.163
Crystal system: orthorhombic
Energy relative to the elements, eV per atom: 0.47

Cell and atoms, written as CIF:
```
data_BeFeHg2
_cell_length_a 2.921
_cell_length_b 4.333
_cell_length_c 10.539
_cell_angle_alpha 90.00
_cell_angle_beta 90.00
_cell_angle_gamma 90.00
_symmetry_space_group_name_H-M 'I m m 2'
_symmetry_Int_Tables_number 44
loop_
_symmetry_equiv_pos_as_xyz
'x,y,z'
'-x,-y,z'
'-x,y,z'
'x,-y,z'
'x+1/2,y+1/2,z+1/2'
'-x+1/2,-y+1/2,z+1/2'
'-x+1/2,y+1/2,z+1/2'
'x+1/2,-y+1/2,z+1/2'
loop_
_atom_site_label
_atom_site_type_symbol
_atom_site_fract_x
_atom_site_fract_y
_atom_site_fract_z
Be1 Be 0.000 0.000 0.000
Fe1 Fe 0.000 0.500 0.673
Hg1 Hg 0.000 0.000 0.483
Hg2 Hg 0.000 0.500 0.272
```

---

No. 8
# Ho5Pb2C2

An optimized crystal structure of Ho5Pb2C2 (PBE, Alexandria).

Calculated values
Total magnetization, Bohr magnetons per cell: 0.000
Crystal system: orthorhombic
Energy relative to the elements, eV per atom: -0.34

Cell and atoms, written as CIF:
```
data_Ho5Pb2C2
_cell_length_a 19.958
_cell_length_b 6.871
_cell_length_c 6.727
_cell_angle_alpha 90.00
_cell_angle_beta 90.00
_cell_angle_gamma 90.00
_symmetry_space_group_name_H-M 'I m a 2'
_symmetry_Int_Tables_number 46
loop_
_symmetry_equiv_pos_as_xyz
'x,y,z'
'-x,-y,z'
'-x+1/2,y,z'
'x+1/2,-y,z'
'x+1/2,y+1/2,z+1/2'
'-x+1/2,-y+1/2,z+1/2'
'-x,y+1/2,z+1/2'
'x,-y+1/2,z+1/2'
loop_
_atom_site_label
_atom_site_type_symbol
_atom_site_fract_x
_atom_site_fract_y
_atom_site_fract_z
Ho1 Ho 0.003 0.249 0.000
Ho2 Ho 0.140 0.515 0.758
Ho3 Ho 0.250 0.120 0.860
Pb1 Pb 0.109 0.509 0.246
C1 C 0.000 0.000 0.250
C2 C 0.250 0.079 0.207
```

---

No. 9
# RuBrCl

An optimized crystal structure of RuBrCl (PBE, Alexandria).

Calculated values
Total magnetization, Bohr magnetons per cell: 0.005
Crystal system: cubic
Raw formation energy, eV per atom: 0.37

Cell and atoms, written as CIF:
```
data_RuBrCl
_cell_length_a 6.208
_cell_length_b 6.208
_cell_length_c 6.208
_cell_angle_alpha 90.00
_cell_angle_beta 90.00
_cell_angle_gamma 90.00
_symmetry_space_group_name_H-M 'F -4 3 m'
_symmetry_Int_Tables_number 216
_symmetry_space_group_name_Hall 'F -4 2 3'
loop_
_atom_site_label
_atom_site_type_symbol
_atom_site_fract_x
_atom_site_fract_y
_atom_site_fract_z
Ru1 Ru 0.000 0.000 0.000
Br1 Br 0.250 0.250 0.750
Cl1 Cl 0.250 0.250 0.250
```

---

No. 10
# MoRuRh4

An optimized crystal structure of MoRuRh4 (PBE, Alexandria).

Calculated values
Total magnetization, Bohr magnetons per cell: 0.000
Crystal system: monoclinic
Energy relative to the elements, eV per atom: 0.10

Cell and atoms, written as CIF:
```
data_MoRuRh4
_cell_length_a 7.926
_cell_length_b 4.469
_cell_length_c 5.381
_cell_angle_alpha 90.00
_cell_angle_beta 109.46
_cell_angle_gamma 90.00
_symmetry_space_group_name_H-M 'C 1 2/m 1'
_symmetry_Int_Tables_number 12
loop_
_symmetry_equiv_pos_as_xyz
'x,y,z'
'-x,-y,-z'
'-x,y,-z'
'x,-y,z'
'x+1/2,y+1/2,z'
'-x+1/2,-y+1/2,-z'
'-x+1/2,y+1/2,-z'
'x+1/2,-y+1/2,z'
loop_
_atom_site_label
_atom_site_type_symbol
_atom_site_fract_x
_atom_site_fract_y
_atom_site_fract_z
Mo1 Mo 0.000 0.000 0.000
Ru1 Ru 0.000 0.000 0.500
Rh1 Rh 0.189 0.500 0.099
Rh2 Rh 0.191 0.500 0.595
```

---

No. 11
# LiCaZr2

An optimized crystal structure of LiCaZr2 (PBE, Alexandria).

Calculated values
Total magnetization, Bohr magnetons per cell: 0.000
Crystal system: orthorhombic
Energy relative to the elements, eV per atom: 0.39

Cell and atoms, written as CIF:
```
data_LiCaZr2
_cell_length_a 3.347
_cell_length_b 5.197
_cell_length_c 11.285
_cell_angle_alpha 90.00
_cell_angle_beta 90.00
_cell_angle_gamma 90.00
_symmetry_space_group_name_H-M 'C m m m'
_symmetry_Int_Tables_number 65
_symmetry_space_group_name_Hall '-C 2 2'
loop_
_atom_site_label
_atom_site_type_symbol
_atom_site_fract_x
_atom_site_fract_y
_atom_site_fract_z
Li1 Li 0.000 0.000 0.000
Ca1 Ca 0.000 0.000 0.500
Zr1 Zr 0.000 0.500 0.232
```

---

No. 12
# BeMoSe

An optimized crystal structure of BeMoSe (PBE, Alexandria).

Calculated values
Total magnetization, Bohr magnetons per cell: 0.000
Crystal system: cubic
Raw formation energy, eV per atom: 0.59

Cell and atoms, written as CIF:
```
data_BeMoSe
_cell_length_a 5.755
_cell_length_b 5.755
_cell_length_c 5.755
_cell_angle_alpha 90.00
_cell_angle_beta 90.00
_cell_angle_gamma 90.00
_symmetry_space_group_name_H-M 'F -4 3 m'
_symmetry_Int_Tables_number 216
_symmetry_space_group_name_Hall 'F -4 2 3'
loop_
_atom_site_label
_atom_site_type_symbol
_atom_site_fract_x
_atom_site_fract_y
_atom_site_fract_z
Be1 Be 0.000 0.000 0.000
Mo1 Mo 0.000 0.000 0.500
Se1 Se 0.250 0.250 0.250
```